Entry 1:
# Tl6PbAu3 PBE optimized geometry
data_Tl6PbAu3
_chemical_formula_sum 'Tl18 Pb3 Au9'
_space_group_name_H-M_alt 'R 3'
_space_group_IT_number 146
_space_group_name_Hall 'R 3'
_cell_length_a 9.1068
_cell_length_b 9.1068
_cell_length_c 11.5270
_cell_angle_alpha 90.00
_cell_angle_beta 90.00
_cell_angle_gamma 120.00
loop_
_atom_site_label
_atom_site_type_symbol
_atom_site_fract_x
_atom_site_fract_y
_atom_site_fract_z
_atom_site_occupancy
Tl1 Tl 0.0021 0.6624 0.0000 1
Tl2 Tl 0.0296 0.3407 0.8280 1
Pb1 Pb 0.0000 0.0000 0.5185 1
Au1 Au 0.0000 0.0000 0.0184 1
Au2 Au 0.0000 0.0000 0.2608 1
Au3 Au 0.0000 0.0000 0.7773 1
# Calculated total energy = -2.78 eV/atom
# ΔE_f = -0.009 eV per atom

Entry 2:
# K2PdF6 PBE optimized geometry
data_K2PdF6
_chemical_formula_sum 'K2 Pd1 F6'
_space_group_name_H-M_alt 'P -3 m 1'
_space_group_IT_number 164
_space_group_name_Hall '-P 3 2"'
_cell_length_a 5.8417
_cell_length_b 5.8417
_cell_length_c 4.7802
_cell_angle_alpha 90.00
_cell_angle_beta 90.00
_cell_angle_gamma 120.00
loop_
_atom_site_label
_atom_site_type_symbol
_atom_site_fract_x
_atom_site_fract_y
_atom_site_fract_z
_atom_site_occupancy
K1 K 0.3333 0.6667 0.2196 1
Pd1 Pd 0.0000 0.0000 0.5000 1
F1 F 0.1619 0.3237 0.7233 1
# Calculated total energy = -4.17 eV/atom
# Formation energy without anion corrections = -2.102 eV per atom

Entry 3:
# La5Tb3Sm4 PBE optimized geometry
data_La5Tb3Sm4
_chemical_formula_sum 'La10 Tb6 Sm8'
_space_group_name_H-M_alt 'C 1 2/m 1'
_space_group_IT_number 12
_cell_length_a 18.526
_cell_length_b 5.839
_cell_length_c 8.978
_cell_angle_alpha 90.00
_cell_angle_beta 118.74
_cell_angle_gamma 90.00
loop_
_space_group_symop_operation_xyz
'x,y,z'
'-x,-y,-z'
'-x,y,-z'
'x,-y,z'
'x+1/2,y+1/2,z'
'-x+1/2,-y+1/2,-z'
'-x+1/2,y+1/2,-z'
'x+1/2,-y+1/2,z'
loop_
_atom_site_label
_atom_site_type_symbol
_atom_site_fract_x
_atom_site_fract_y
_atom_site_fract_z
_atom_site_occupancy
La1 La 0.000 0.000 0.000 1
La2 La 0.108 0.500 0.429 1
La3 La 0.167 0.500 0.906 1
Tb1 Tb 0.000 0.500 0.000 1
Tb2 Tb 0.182 0.000 0.223 1
Sm1 Sm 0.031 0.000 0.705 1
Sm2 Sm 0.199 0.000 0.644 1
# Calculated total energy = -4.56 eV/atom
# ΔE_f = 0.228 eV per atom

Entry 4:
# Mg3Al2Au3 PBE optimized geometry
data_Mg3Al2Au3
_chemical_formula_sum 'Mg6 Al4 Au6'
_space_group_name_H-M_alt 'P 63/m c m'
_space_group_IT_number 193
_space_group_name_Hall '-P 6c 2'
_cell_length_a 7.9593
_cell_length_b 7.9593
_cell_length_c 5.3398
_cell_angle_alpha 90.00
_cell_angle_beta 90.00
_cell_angle_gamma 120.00
loop_
_atom_site_label
_atom_site_type_symbol
_atom_site_fract_x
_atom_site_fract_y
_atom_site_fract_z
_atom_site_occupancy
Mg1 Mg 0.0000 0.2506 0.2500 1
Al1 Al 0.3333 0.6667 0.0000 1
Au1 Au 0.0000 0.3949 0.7500 1
# Calculated total energy = -3.26 eV/atom
# ΔE_f = -0.494 eV per atom

Entry 5:
# CuHgMo2 PBE optimized geometry
data_CuHgMo2
_chemical_formula_sum 'Cu4 Hg4 Mo8'
_space_group_name_H-M_alt 'I -4 2 d'
_space_group_IT_number 122
_space_group_name_Hall 'I -4 2bw'
_cell_length_a 3.705
_cell_length_b 3.705
_cell_length_c 20.240
_cell_angle_alpha 90.00
_cell_angle_beta 90.00
_cell_angle_gamma 90.00
loop_
_atom_site_label
_atom_site_type_symbol
_atom_site_fract_x
_atom_site_fract_y
_atom_site_fract_z
_atom_site_occupancy
Cu1 Cu 0.000 0.000 0.000 1
Hg1 Hg 0.000 0.000 0.500 1
Mo1 Mo 0.236 0.250 0.125 1
# Calculated total energy = -5.76 eV/atom
# ΔE_f = 0.752 eV per atom

Entry 6:
# Y3HoNi PBE optimized geometry
data_Y3HoNi
_chemical_formula_sum 'Y12 Ho4 Ni4'
_space_group_name_H-M_alt 'C 1 2/m 1'
_space_group_IT_number 12
_cell_length_a 11.589
_cell_length_b 8.528
_cell_length_c 8.062
_cell_angle_alpha 90.00
_cell_angle_beta 133.98
_cell_angle_gamma 90.00
loop_
_space_group_symop_operation_xyz
'x,y,z'
'-x,-y,-z'
'-x,y,-z'
'x,-y,z'
'x+1/2,y+1/2,z'
'-x+1/2,-y+1/2,-z'
'-x+1/2,y+1/2,-z'
'x+1/2,-y+1/2,z'
loop_
_atom_site_label
_atom_site_type_symbol
_atom_site_fract_x
_atom_site_fract_y
_atom_site_fract_z
_atom_site_occupancy
Y1 Y 0.048 0.000 0.335 1
Y2 Y 0.246 0.300 0.784 1
Ho1 Ho 0.050 0.500 0.258 1
Ni1 Ni 0.247 0.500 0.128 1
# Calculated total energy = -6.07 eV/atom
# ΔE_f = -0.119 eV per atom
# E above lowest polymorph = 0.052 eV per atom

Entry 7:
# HoCdNi2 PBE optimized geometry
data_HoCdNi2
_chemical_formula_sum 'Ho1 Cd1 Ni2'
_space_group_name_H-M_alt 'P 4/m m m'
_space_group_IT_number 123
_space_group_name_Hall '-P 4 2'
_cell_length_a 3.332
_cell_length_b 3.332
_cell_length_c 6.183
_cell_angle_alpha 90.00
_cell_angle_beta 90.00
_cell_angle_gamma 90.00
loop_
_atom_site_label
_atom_site_type_symbol
_atom_site_fract_x
_atom_site_fract_y
_atom_site_fract_z
_atom_site_occupancy
Ho1 Ho 0.000 0.000 0.000 1
Cd1 Cd 0.000 0.000 0.500 1
Ni1 Ni 0.500 0.500 0.268 1
# Calculated total energy = -4.45 eV/atom
# ΔE_f = -0.184 eV per atom

Entry 8:
# RuPbI PBE optimized geometry
data_RuPbI
_chemical_formula_sum 'Ru2 Pb2 I2'
_space_group_name_H-M_alt 'P 1 m 1'
_space_group_IT_number 6
_cell_length_a 5.625
_cell_length_b 3.952
_cell_length_c 8.307
_cell_angle_alpha 90.00
_cell_angle_beta 90.11
_cell_angle_gamma 90.00
loop_
_space_group_symop_operation_xyz
'x,y,z'
'x,-y,z'
loop_
_atom_site_label
_atom_site_type_symbol
_atom_site_fract_x
_atom_site_fract_y
_atom_site_fract_z
_atom_site_occupancy
Ru1 Ru 0.000 0.000 0.000 1
Ru2 Ru 0.176 0.500 0.135 1
Pb1 Pb 0.211 0.500 0.784 1
Pb2 Pb 0.657 0.500 0.106 1
I1 I 0.239 0.000 0.365 1
I2 I 0.705 0.000 0.737 1
# Calculated total energy = -4.64 eV/atom
# Formation energy without anion corrections = 0.205 eV per atom
# E above lowest polymorph = 0.000 eV per atom

Entry 9:
# TlRu6S8 PBE optimized geometry
data_TlRu6S8
_chemical_formula_sum 'Tl3 Ru18 S24'
_space_group_name_H-M_alt 'R -3'
_space_group_IT_number 148
_space_group_name_Hall '-R 3'
_cell_length_a 9.0349
_cell_length_b 9.0349
_cell_length_c 11.1975
_cell_angle_alpha 90.00
_cell_angle_beta 90.00
_cell_angle_gamma 120.00
loop_
_atom_site_label
_atom_site_type_symbol
_atom_site_fract_x
_atom_site_fract_y
_atom_site_fract_z
_atom_site_occupancy
Tl1 Tl 0.0000 0.0000 0.0000 1
Ru1 Ru 0.0223 0.1931 0.3909 1
S1 S 0.0000 0.0000 0.2516 1
S2 S 0.0021 0.3838 0.2545 1
# Calculated total energy = -6.32 eV/atom
# Formation energy without anion corrections = -0.252 eV per atom

Entry 10:
# BC2 PBE optimized geometry
data_BC2
_chemical_formula_sum 'B4 C8'
_space_group_name_H-M_alt 'P 1 m 1'
_space_group_IT_number 6
_cell_length_a 3.734
_cell_length_b 2.555
_cell_length_c 8.092
_cell_angle_alpha 90.00
_cell_angle_beta 91.97
_cell_angle_gamma 90.00
loop_
_space_group_symop_operation_xyz
'x,y,z'
'x,-y,z'
loop_
_atom_site_label
_atom_site_type_symbol
_atom_site_fract_x
_atom_site_fract_y
_atom_site_fract_z
_atom_site_occupancy
B1 B 0.000 0.000 0.000 1
B2 B 0.001 0.000 0.340 1
B3 B 0.437 0.500 0.136 1
B4 B 0.695 0.500 0.375 1
C1 C 0.215 0.000 0.525 1
C2 C 0.234 0.000 0.833 1
C3 C 0.237 0.000 0.183 1
C4 C 0.451 0.500 0.526 1
C5 C 0.480 0.500 0.834 1
C6 C 0.708 0.500 0.994 1
C7 C 0.727 0.500 0.679 1
C8 C 0.969 0.000 0.680 1
# Calculated total energy = -8.03 eV/atom
# ΔE_f = 0.341 eV per atom
# E above lowest polymorph = 0.101 eV per atom

Entry 11:
# ZrTi2ZnH PBE optimized geometry
data_ZrTi2ZnH
_chemical_formula_sum 'Zr1 Ti2 Zn1 H1'
_space_group_name_H-M_alt 'P 4/m m m'
_space_group_IT_number 123
_space_group_name_Hall '-P 4 2'
_cell_length_a 4.121
_cell_length_b 4.121
_cell_length_c 4.272
_cell_angle_alpha 90.00
_cell_angle_beta 90.00
_cell_angle_gamma 90.00
loop_
_atom_site_label
_atom_site_type_symbol
_atom_site_fract_x
_atom_site_fract_y
_atom_site_fract_z
_atom_site_occupancy
Zr1 Zr 0.000 0.000 0.000 1
Ti1 Ti 0.000 0.500 0.500 1
Zn1 Zn 0.500 0.500 0.000 1
H1 H 0.500 0.500 0.500 1
# Calculated total energy = -5.90 eV/atom
# E above lowest polymorph = 0.132 eV per atom